A plane-wave DFT calculation with PBE was carried out for an optimized crystal structure of TmSiNi3.

abc: 5.6623 5.6623 10.7931
angles: 90.00 90.00 120.00
With the nearest neighbours (Å) after each atom.
Fractional positions:
Tm 0.0000 0.0000 0.0000  12 Ni 2.83-3.02
Tm 0.0000 0.0000 0.5000  12 Ni 2.83-3.02
Tm 0.3333 0.6667 0.2500  12 Ni 2.84-3.15
Tm 0.6667 0.3333 0.7500  12 Ni 2.84-3.15
Si 0.3333 0.6667 0.6389  6 Ni 2.22-2.26, 1 Si 2.40
Si 0.3333 0.6667 0.8611  6 Ni 2.22-2.26, 1 Si 2.40
Si 0.6667 0.3333 0.1389  6 Ni 2.22-2.26, 1 Si 2.40
Si 0.6667 0.3333 0.3611  6 Ni 2.22-2.26, 1 Si 2.40
Ni 0.0000 0.5000 0.0000  2 Si 2.22
Ni 0.0000 0.5000 0.5000  2 Si 2.22
Ni 0.1382 0.2764 0.7500  2 Si 2.26, 2 Ni 2.35
Ni 0.1382 0.8618 0.7500  2 Si 2.26, 2 Ni 2.35
Ni 0.2764 0.1382 0.2500  2 Si 2.26, 2 Ni 2.35
Ni 0.5000 0.0000 0.0000  2 Si 2.22
Ni 0.5000 0.0000 0.5000  2 Si 2.22
Ni 0.5000 0.5000 0.0000  2 Si 2.22
Ni 0.5000 0.5000 0.5000  2 Si 2.22
Ni 0.7236 0.8618 0.7500  2 Si 2.26, 2 Ni 2.35
Ni 0.8618 0.1382 0.2500  2 Si 2.26, 2 Ni 2.35
Ni 0.8618 0.7236 0.2500  2 Si 2.26, 2 Ni 2.35

Values from the calculation:
- energy relative to the lowest polymorph listed for this composition (meV per atom) = 0
- uncorrected energy (eV/atom) = -5.877
- volume (Å³ per cell) = 299.7
- E_form (uncorrected) (eV per atom) = -0.43